# PBEsol Hg3As2O8, optimized geometry
# - Uncorrected formation energy: -77.5 kJ per mole of atoms
# - Spin magnetization: 0.0 μB per cell
# - Calculated density: 7.589 g cm⁻³
# - Total energy: -4.950 eV per atom
data_Hg3As2O8
_cell_length_a 10.0820
_cell_length_b 11.8052
_cell_length_c 6.5590
_cell_angle_alpha 90.00
_cell_angle_beta 99.54
_cell_angle_gamma 90.00
_symmetry_space_group_name_H-M 'P 1 21/c 1'
_symmetry_Int_Tables_number 14
loop_
_symmetry_equiv_pos_as_xyz
'x,y,z'
'-x,-y,-z'
'-x,y+1/2,-z+1/2'
'x,-y+1/2,z+1/2'
loop_
_atom_site_label
_atom_site_type_symbol
_atom_site_fract_x
_atom_site_fract_y
_atom_site_fract_z
Hg1 Hg 0.0466 0.1201 0.1670
Hg2 Hg 0.2972 0.1084 0.6774
Hg3 Hg 0.3392 0.6673 0.5934
As1 As 0.0956 0.6317 0.9099
As2 As 0.3956 0.0976 0.2014
O1 O 0.0512 0.2071 0.5795
O2 O 0.0874 0.5579 0.6799
O3 O 0.1290 0.5509 0.1247
O4 O 0.2164 0.7304 0.8723
O5 O 0.2752 0.0813 0.9817
O6 O 0.2933 0.1507 0.3683
O7 O 0.4544 0.5373 0.7708
O8 O 0.4803 0.6902 0.3217